(1)
Cu2Re: optimized geometry, PBE.

a = 5.750 Å, b = 5.750 Å, c = 3.736 Å
α = 90.00°, β = 90.00°, γ = 140.05°
Fractional coordinates of all 6 atoms:
Cu1 0.590 0.410 0.250
Cu2 0.410 0.590 0.750
Cu3 0.256 0.744 0.250
Cu4 0.744 0.256 0.750
Re1 0.925 0.075 0.250
Re2 0.075 0.925 0.750

Output
- ρ: 13.119 g/cm3
- Magnetization: 0.000 μB/f.u.
- VASP energy: -6.582 eV/atom
- Formation enthalpy at 0 K: 298 meV/atom
- ΔE to the lowest computed polymorph: 110 meV per atom

(2)
ZnSbS2Cl: optimized geometry, PBE.

a = 5.066 Å, b = 5.066 Å, c = 5.188 Å
α = 90.00°, β = 90.00°, γ = 90.00°
Fractional coordinates of all 5 atoms:
Sb1 0.000 0.000 0.000
Zn1 0.500 0.500 0.500
S1 0.000 0.500 0.000
S2 0.500 0.000 0.000
Cl1 0.000 0.000 0.500

Output
- ρ: 3.576 g/cm3
- Magnetization: 0.000 μB/f.u.
- VASP energy: -2.885 eV/atom
- ΔE to the lowest computed polymorph: 166 meV per atom
- Energy relative to the elements, uncorrected: 0.21 eV/atom

(3)
LaOsW2: optimized geometry, PBE.

a = 5.039 Å, b = 3.911 Å, c = 3.911 Å
α = 90.00°, β = 90.00°, γ = 90.00°
Fractional coordinates of all 4 atoms:
La1 0.500 0.500 0.000
Os1 0.500 0.000 0.500
W1 0.000 0.000 0.000
W2 0.000 0.500 0.500

Output
- ρ: 15.014 g/cm3
- Magnetization: 0.000 μB/f.u.
- VASP energy: -9.594 eV/atom
- Formation enthalpy at 0 K: 922 meV/atom
- ΔE to the lowest computed polymorph: 529 meV per atom

(4)
Ba2RuSe: optimized geometry, PBE.

a = 6.516 Å, b = 6.516 Å, c = 8.696 Å
α = 68.00°, β = 68.00°, γ = 90.00°
Last column: magnetic moment on the atom in μB.
Fractional coordinates of all 8 atoms:
Ru1 0.000 0.000 0.000  0.28
Ru2 0.750 0.250 0.500  0.28
Ba1 0.686 0.125 0.250  0.00
Ba2 0.064 0.625 0.250  0.00
Ba3 0.375 0.314 0.750  0.00
Ba4 0.875 0.936 0.750  0.00
Se1 0.500 0.500 0.000  0.01
Se2 0.250 0.750 0.500  0.01

Output
- ρ: 4.822 g/cm3
- Magnetization: 0.301 μB/f.u.
- VASP energy: -4.072 eV/atom
- Energy relative to the elements, uncorrected: 0.08 eV/atom

(5)
FeS2NCl: optimized geometry, PBE.

a = 4.211 Å, b = 4.211 Å, c = 4.196 Å
α = 90.00°, β = 90.00°, γ = 90.00°
Last column: magnetic moment on the atom in μB.
Fractional coordinates of all 5 atoms:
S1 0.000 0.500 0.000  0.07
S2 0.500 0.000 0.000  0.07
N1 0.000 0.000 0.000  -0.01
Fe1 0.500 0.500 0.500  3.48
Cl1 0.000 0.000 0.500  0.12

Output
- ρ: 3.781 g/cm3
- Magnetization: 3.933 μB/f.u.
- VASP energy: -4.163 eV/atom
- ΔE to the lowest computed polymorph: 523 meV per atom
- Energy relative to the elements, uncorrected: 1.21 eV/atom

(6)
Cu2Sn5Pd12: optimized geometry, PBE.

a = 5.508 Å, b = 8.003 Å, c = 9.092 Å
α = 106.42°, β = 90.00°, γ = 110.13°
Fractional coordinates of all 19 atoms:
Cu1 0.769 0.000 0.000
Cu2 0.231 0.000 0.000
Sn1 0.322 0.644 0.657
Sn2 0.349 0.698 0.148
Sn3 0.000 0.000 0.500
Sn4 0.651 0.302 0.852
Sn5 0.678 0.356 0.343
Pd1 0.089 0.179 0.283
Pd2 0.056 0.629 0.897
Pd3 0.573 0.629 0.897
Pd4 0.090 0.677 0.404
Pd5 0.587 0.677 0.404
Pd6 0.492 0.984 0.645
Pd7 0.508 0.016 0.355
Pd8 0.910 0.323 0.596
Pd9 0.413 0.323 0.596
Pd10 0.944 0.371 0.103
Pd11 0.427 0.371 0.103
Pd12 0.911 0.821 0.717

Output
- ρ: 9.244 g/cm3
- Magnetization: 0.000 μB/f.u.
- VASP energy: -5.006 eV/atom
- Formation enthalpy at 0 K: -242 meV/atom